# CaTb2VO6 | the Alexandria database | GGA+U | optimized geometry
data_CaTb2VO6
_chemical_formula_sum 'Ca1 Tb2 V1 O6'
_cell_length_a 5.609
_cell_length_b 5.654
_cell_length_c 5.853
_cell_angle_alpha 91.08
_cell_angle_beta 117.82
_cell_angle_gamma 119.61
_space_group_name_H-M_alt 'P 1'
_space_group_IT_number 1
_space_group_name_Hall 'P 1'
loop_
_atom_site_label
_atom_site_fract_x
_atom_site_fract_y
_atom_site_fract_z
_atom_site_occupancy
Ca1 0.000 0.000 0.000 1
Tb1 0.550 0.273 0.827 1
Tb2 0.564 0.786 0.340 1
V1 0.976 0.486 0.462 1
O1 0.068 0.393 0.198 1
O2 0.069 0.225 0.662 1
O3 0.444 0.839 0.665 1
O4 0.517 0.125 0.186 1
O5 0.808 0.676 0.192 1
O6 0.834 0.590 0.657 1
# - energy (eV/atom) = -7.806